Record 1
VASP calculation (PBE) on a geometry-optimized Ti6CrCo5 structure.

POSCAR file:
```
Ti6CrCo5
1.0
3.996 -0.023 1.332
0.031 5.960 0.010
0.004 -0.012 6.649
Cr Co Ti
1 5 6
Direct
0.000 0.000 0.000
0.668 0.500 0.665
0.332 0.000 0.337
0.000 0.500 0.000
0.668 0.000 0.663
0.332 0.500 0.335
0.834 0.751 0.331
0.834 0.249 0.331
0.500 0.248 0.000
0.500 0.752 0.000
0.166 0.751 0.669
0.166 0.249 0.669
```

Values from the calculation:
- E (eV per atom) = -8.061
- total magnetic moment (Bohr magnetons per cell) = 2.10
- calculated density (Mg/m³) = 6.65
- formation enthalpy at 0 K (kJ/mol of atoms) = -34



Record 2
VASP calculation (PBE) on a geometry-optimized TiZnCrCo structure.

POSCAR file:
```
TiZnCrCo
1.0
4.210 0.000 0.000
2.105 3.646 0.000
2.105 1.215 3.438
Cr Zn Co Ti
1 1 1 1
Direct
0.000 0.000 0.000
0.750 0.750 0.750
0.500 0.500 0.500
0.250 0.250 0.250
```

Values from the calculation:
- E (eV per atom) = -6.583
- total magnetic moment (Bohr magnetons per cell) = 3.02
- calculated density (Mg/m³) = 7.05
- formation enthalpy at 0 K (kJ/mol of atoms) = -10



What did the first record say?
VASP calculation (PBE) on a geometry-optimized Ti6CrCo5 structure.

POSCAR file:
```
Ti6CrCo5
1.0
3.996 -0.023 1.332
0.031 5.960 0.010
0.004 -0.012 6.649
Cr Co Ti
1 5 6
Direct
0.000 0.000 0.000
0.668 0.500 0.665
0.332 0.000 0.337
0.000 0.500 0.000
0.668 0.000 0.663
0.332 0.500 0.335
0.834 0.751 0.331
0.834 0.249 0.331
0.500 0.248 0.000
0.500 0.752 0.000
0.166 0.751 0.669
0.166 0.249 0.669
```

Values from the calculation:
- E (eV per atom) = -8.061
- total magnetic moment (Bohr magnetons per cell) = 2.10
- calculated density (Mg/m³) = 6.65
- formation enthalpy at 0 K (kJ/mol of atoms) = -34